(1)
A plane-wave DFT calculation with PBE was carried out for crystalline HoMoIr at its relaxed geometry.

a b c (Å): 6.373 6.373 6.373
angles (deg): 90.00 90.00 90.00
Space group F-43m (No. 216)
Asymmetric unit:
Ho 0.000 0.000 0.000 (multiplicity 4)
Mo 0.000 0.000 0.500 (multiplicity 4)
Ir 0.250 0.250 0.250 (multiplicity 4)

## Properties
Offset from the most stable computed form: 0 meV per atom
Energy of formation from the pure elements: 0.098 eV per atom

***

(2)
A plane-wave DFT calculation with PBE was carried out for crystalline CsHoTl at its relaxed geometry.

a b c (Å): 8.130 8.130 8.130
angles (deg): 90.00 90.00 90.00
Space group F-43m (No. 216)
Asymmetric unit:
Cs 0.000 0.000 0.000 (multiplicity 4)
Ho 0.000 0.000 0.500 (multiplicity 4)
Tl 0.250 0.250 0.250 (multiplicity 4)

## Properties
Offset from the most stable computed form: 0 meV per atom